Record 1
Material: LiLa2Te2
Method: DFT, GGA-PBEsol
State: relaxed

abc: 4.2480 8.3105 8.3105
angles: 90.00 90.00 90.00
Fractional coordinates of all 10 atoms:
Te  0.0000  0.3497  0.8497
Te  0.0000  0.8497  0.6503
Te  0.0000  0.6503  0.1503
Te  0.0000  0.1503  0.3497
Li  0.0000  0.0000  0.0000
Li  0.0000  0.5000  0.5000
La  0.5000  0.1526  0.6526
La  0.5000  0.6526  0.8474
La  0.5000  0.8474  0.3474
La  0.5000  0.3474  0.1526

Values from the calculation:
N(E_F) (states/eV/cell): 3.7
Space-group type: P4/mbm (127)
Formation energy without anion corrections (eV per atom): -1.199

Record 2
Material: Li2LaTe2
Method: DFT, GGA-PBEsol
State: relaxed

abc: 4.0669 4.0669 7.7501
angles: 105.21 105.21 90.00
Fractional coordinates of all 5 atoms:
Te  0.3774  0.3774  0.7548
Te  0.6226  0.6226  0.2452
La  0.0000  0.0000  0.0000
Li  0.2500  0.7500  0.5000
Li  0.7500  0.2500  0.5000

Values from the calculation:
N(E_F) (states/eV/cell): 1.9
Space-group type: I4/mmm (139)
Formation energy without anion corrections (eV per atom): -1.180

> What is the N(E_F) in the first record?

3.7 states/eV/cell